(1)
# LaPmDy2 (PBE-GGA, relaxed)
data_LaPmDy2
_symmetry_space_group_name_H-M 'P 1'
_symmetry_Int_Tables_number 1
_symmetry_space_group_name_Hall 'P 1'
_cell_length_a 3.656
_cell_length_b 6.216
_cell_length_c 6.216
_cell_angle_alpha 108.08
_cell_angle_beta 90.00
_cell_angle_gamma 90.00
loop_
_atom_site_label
_atom_site_fract_x
_atom_site_fract_y
_atom_site_fract_z
_atom_site_occupancy
Pm1 0.500 0.000 0.000 1
La1 0.500 0.500 0.500 1
Dy1 0.000 0.500 0.000 1
Dy2 0.000 0.000 0.500 1
# Volume   33.6 Å³ per atom
# Polymorph energy (0 for the lowest one)   8 meV per atom
# Space-group type   No. 65
# M_tot   0.00 μB/f.u.
# N(E_F)   1.613 states/eV/atom
# E_form   0.0209 eV per atom



(2)
# YRhC3 (PBE-GGA, relaxed)
data_YRhC3
_symmetry_space_group_name_H-M 'P 1'
_symmetry_Int_Tables_number 1
_symmetry_space_group_name_Hall 'P 1'
_cell_length_a 4.021
_cell_length_b 4.021
_cell_length_c 4.021
_cell_angle_alpha 90.00
_cell_angle_beta 90.00
_cell_angle_gamma 90.00
loop_
_atom_site_label
_atom_site_fract_x
_atom_site_fract_y
_atom_site_fract_z
_atom_site_occupancy
C1 0.000 0.500 0.000 1
C2 0.500 0.000 0.000 1
Y1 0.500 0.500 0.500 1
C3 0.000 0.000 0.500 1
Rh1 0.000 0.000 0.000 1
# Volume   13.0 Å³ per atom
# Polymorph energy (0 for the lowest one)   0 meV per atom
# Space-group type   No. 221
# M_tot   0.00 μB/f.u.
# N(E_F)   0.935 states/eV/atom
# E_form   1.3895 eV per atom



(3)
# SiHg2BPb (PBE-GGA, relaxed)
data_SiHg2BPb
_symmetry_space_group_name_H-M 'P 1'
_symmetry_Int_Tables_number 1
_symmetry_space_group_name_Hall 'P 1'
_cell_length_a 5.530
_cell_length_b 3.671
_cell_length_c 5.530
_cell_angle_alpha 90.00
_cell_angle_beta 90.00
_cell_angle_gamma 90.00
loop_
_atom_site_label
_atom_site_fract_x
_atom_site_fract_y
_atom_site_fract_z
_atom_site_occupancy
Hg1 0.500 0.000 0.000 1
Pb1 0.500 0.500 0.500 1
Hg2 0.000 0.000 0.500 1
Si1 0.000 0.500 0.000 1
B1 0.000 0.000 0.000 1
# Uncorrected formation energy   0.628 eV per atom
# Volume   22.5 Å³ per atom
# Space-group type   No. 123
# M_tot   0.00 μB/f.u.
# N(E_F)   0.567 states/eV/atom



(4)
# TbPm2Hf (PBE-GGA, relaxed)
data_TbPm2Hf
_symmetry_space_group_name_H-M 'P 1'
_symmetry_Int_Tables_number 1
_symmetry_space_group_name_Hall 'P 1'
_cell_length_a 3.481
_cell_length_b 3.481
_cell_length_c 11.574
_cell_angle_alpha 81.35
_cell_angle_beta 81.35
_cell_angle_gamma 60.00
loop_
_atom_site_label
_atom_site_fract_x
_atom_site_fract_y
_atom_site_fract_z
_atom_site_occupancy
Pm1 0.078 0.078 0.766 1
Hf1 0.667 0.667 0.999 1
Tb1 0.499 0.499 0.502 1
Pm2 0.256 0.256 0.233 1
# Volume   29.9 Å³ per atom
# Polymorph energy (0 for the lowest one)   0 meV per atom
# Space-group type   No. 160
# M_tot   0.00 μB/f.u.
# N(E_F)   1.385 states/eV/atom
# E_form   0.1547 eV per atom



(5)
# KFeIr2 (PBE-GGA, relaxed)
data_KFeIr2
_symmetry_space_group_name_H-M 'P 1'
_symmetry_Int_Tables_number 1
_symmetry_space_group_name_Hall 'P 1'
_cell_length_a 7.393
_cell_length_b 7.393
_cell_length_c 5.881
_cell_angle_alpha 51.06
_cell_angle_beta 51.06
_cell_angle_gamma 90.00
loop_
_atom_site_label
_atom_site_fract_x
_atom_site_fract_y
_atom_site_fract_z
_atom_site_occupancy
Ir1 0.053 0.625 0.250 1
Ir2 0.697 0.125 0.250 1
Ir3 0.875 0.947 0.750 1
Fe1 0.750 0.250 0.500 1
K1 0.250 0.750 0.500 1
Fe2 0.000 0.000 0.000 1
K2 0.500 0.500 0.000 1
Ir4 0.375 0.303 0.750 1
# Volume   18.4 Å³ per atom
# Polymorph energy (0 for the lowest one)   731 meV per atom
# Space-group type   No. 122
# M_tot   0.00 μB/f.u.
# N(E_F)   1.953 states/eV/atom
# E_form   1.1707 eV per atom



(6)
# Pr4SmTm15 (PBE-GGA, relaxed)
data_Pr4SmTm15
_symmetry_space_group_name_H-M 'P 1'
_symmetry_Int_Tables_number 1
_symmetry_space_group_name_Hall 'P 1'
_cell_length_a 5.015
_cell_length_b 5.015
_cell_length_c 24.931
_cell_angle_alpha 90.00
_cell_angle_beta 90.00
_cell_angle_gamma 90.00
loop_
_atom_site_label
_atom_site_fract_x
_atom_site_fract_y
_atom_site_fract_z
_atom_site_occupancy
Tm1 0.500 0.000 0.700 1
Tm2 0.000 0.500 0.099 1
Tm3 0.500 0.000 0.300 1
Sm1 0.000 0.000 0.000 1
Pr1 0.000 0.000 0.800 1
Tm4 0.500 0.000 0.500 1
Tm5 0.000 0.500 0.901 1
Tm6 0.500 0.000 0.099 1
Tm7 0.000 0.500 0.300 1
Tm8 0.500 0.500 0.600 1
Tm9 0.500 0.500 0.000 1
Pr2 0.000 0.000 0.400 1
Pr3 0.000 0.000 0.600 1
Tm10 0.500 0.500 0.400 1
Tm11 0.500 0.000 0.901 1
Tm12 0.000 0.500 0.700 1
Tm13 0.000 0.500 0.500 1
Pr4 0.000 0.000 0.200 1
Tm14 0.500 0.500 0.801 1
Tm15 0.500 0.500 0.199 1
# Volume   31.4 Å³ per atom
# Space-group type   No. 123
# M_tot   0.00 μB/f.u.
# N(E_F)   1.458 states/eV/atom
# E_form   0.0288 eV per atom



(7)
# CsRb4Cd (PBE-GGA, relaxed)
data_CsRb4Cd
_symmetry_space_group_name_H-M 'P 1'
_symmetry_Int_Tables_number 1
_symmetry_space_group_name_Hall 'P 1'
_cell_length_a 8.342
_cell_length_b 10.139
_cell_length_c 13.076
_cell_angle_alpha 112.81
_cell_angle_beta 108.41
_cell_angle_gamma 90.00
loop_
_atom_site_label
_atom_site_fract_x
_atom_site_fract_y
_atom_site_fract_z
_atom_site_occupancy
Rb1 0.000 0.772 0.000 1
Rb2 0.391 0.652 0.783 1
Rb3 0.609 0.868 0.217 1
Rb4 0.609 0.348 0.217 1
Rb5 0.839 0.340 0.680 1
Rb6 0.161 0.660 0.320 1
Rb7 0.391 0.132 0.783 1
Rb8 0.000 0.228 0.000 1
Cs1 0.795 0.795 0.590 1
Cs2 0.205 0.205 0.410 1
Cd1 0.322 0.501 0.001 1
Cd2 0.678 0.499 0.999 1
# Volume   79.8 Å³ per atom
# Polymorph energy (0 for the lowest one)   0 meV per atom
# Space-group type   No. 12
# M_tot   0.00 μB/f.u.
# N(E_F)   0.821 states/eV/atom
# E_form   -0.0051 eV per atom



(8)
# LiZrAlPd2 (PBE-GGA, relaxed)
data_LiZrAlPd2
_symmetry_space_group_name_H-M 'P 1'
_symmetry_Int_Tables_number 1
_symmetry_space_group_name_Hall 'P 1'
_cell_length_a 4.250
_cell_length_b 4.720
_cell_length_c 4.250
_cell_angle_alpha 90.00
_cell_angle_beta 90.00
_cell_angle_gamma 90.00
loop_
_atom_site_label
_atom_site_fract_x
_atom_site_fract_y
_atom_site_fract_z
_atom_site_occupancy
Al1 0.500 0.500 0.500 1
Pd1 0.000 0.000 0.500 1
Pd2 0.500 0.000 0.000 1
Li1 0.000 0.000 0.000 1
Zr1 0.000 0.500 0.000 1
# Volume   17.0 Å³ per atom
# Space-group type   No. 123
# M_tot   0.00 μB/f.u.
# N(E_F)   1.229 states/eV/atom
# E_form   0.2490 eV per atom



(9)
# NpZn2InAu2 (PBE-GGA, relaxed)
data_NpZn2InAu2
_symmetry_space_group_name_H-M 'P 1'
_symmetry_Int_Tables_number 1
_symmetry_space_group_name_Hall 'P 1'
_cell_length_a 4.616
_cell_length_b 4.616
_cell_length_c 6.651
_cell_angle_alpha 90.00
_cell_angle_beta 90.00
_cell_angle_gamma 120.00
loop_
_atom_site_label
_atom_site_fract_x
_atom_site_fract_y
_atom_site_fract_z
_atom_site_occupancy
Np1 0.000 0.000 0.000 1
Au1 0.333 0.667 0.244 1
Zn1 0.333 0.667 0.744 1
In1 0.000 0.000 0.500 1
Au2 0.667 0.333 0.756 1
Zn2 0.667 0.333 0.256 1
# Volume   20.5 Å³ per atom
# Space-group type   No. 164
# M_tot   4.20 μB/f.u.
# N(E_F)   2.049 states/eV/atom
# E_form   -0.1443 eV per atom



(10)
# Cd3In6Ag2 (PBE-GGA, relaxed)
data_Cd3In6Ag2
_symmetry_space_group_name_H-M 'P 1'
_symmetry_Int_Tables_number 1
_symmetry_space_group_name_Hall 'P 1'
_cell_length_a 3.438
_cell_length_b 3.438
_cell_length_c 25.815
_cell_angle_alpha 86.18
_cell_angle_beta 86.18
_cell_angle_gamma 60.00
loop_
_atom_site_label
_atom_site_fract_x
_atom_site_fract_y
_atom_site_fract_z
_atom_site_occupancy
In1 0.636 0.636 0.093 1
Cd1 0.729 0.729 0.813 1
In2 0.817 0.817 0.549 1
Cd2 0.000 0.000 0.000 1
In3 0.364 0.364 0.907 1
In4 0.183 0.183 0.451 1
Ag1 0.456 0.456 0.633 1
Ag2 0.544 0.544 0.367 1
In5 0.094 0.094 0.718 1
In6 0.906 0.906 0.282 1
Cd3 0.271 0.271 0.187 1
# Volume   24.0 Å³ per atom
# Space-group type   No. 166
# M_tot   0.00 μB/f.u.
# N(E_F)   0.356 states/eV/atom
# E_form   0.0304 eV per atom